No. 1
Ca2NbBiTe | GGA-PBE | optimized geometry

The structure in POSCAR format:
```
Ca2NbBiTe
1.0
5.862 0.000 0.000
0.000 5.862 0.000
0.000 0.000 6.116
Ca Nb Bi Te
2 1 1 1
Cartesian
0.000 2.931 0.000
2.931 0.000 0.000
0.000 0.000 3.058
2.931 2.931 0.000
2.931 2.931 3.058
```

Output
Uncorrected formation energy: 3.78 eV/f.u.
Space-group type: P4/mmm


No. 2
Ca2TiNbBi | GGA-PBE | optimized geometry

The structure in POSCAR format:
```
Ca2TiNbBi
1.0
5.633 0.000 0.000
0.000 5.633 0.000
0.000 0.000 5.271
Ca Ti Nb Bi
2 1 1 1
Cartesian
0.000 2.816 0.000
2.816 0.000 0.000
0.000 0.000 0.000
2.816 2.816 2.636
0.000 0.000 2.636
```

Output
Space-group type: P4/mmm
Energy of formation from the pure elements: 5.28 eV per formula unit


No. 3
CaTi2NbBi | GGA-PBE | optimized geometry

The structure in POSCAR format:
```
CaTi2NbBi
1.0
4.842 0.000 0.000
0.000 4.842 0.000
0.000 0.000 4.917
Ca Ti Nb Bi
1 2 1 1
Cartesian
0.000 0.000 0.000
0.000 2.421 0.000
2.421 0.000 0.000
0.000 0.000 2.459
2.421 2.421 2.459
```

Output
Space-group type: P4/mmm
Energy of formation from the pure elements: 8.29 eV per formula unit


No. 4
CaYNbBi2 | GGA-PBE | optimized geometry

The structure in POSCAR format:
```
CaYNbBi2
1.0
5.585 0.000 0.000
0.000 5.585 0.000
0.000 0.000 5.245
Ca Y Nb Bi
1 1 1 2
Cartesian
0.000 0.000 0.000
0.000 0.000 2.622
2.792 2.792 2.622
0.000 2.792 0.000
2.792 0.000 0.000
```

Output
Space-group type: P4/mmm
Energy of formation from the pure elements: 6.87 eV per formula unit


No. 5
CaNd2Bi3 | GGA-PBE | optimized geometry

The structure in POSCAR format:
```
CaNd2Bi3
1.0
-2.274 3.268 7.025
2.274 -3.268 7.025
2.274 3.268 -7.025
Ca Nd Bi
1 2 3
Cartesian
0.000 0.000 0.000
0.000 0.000 4.693
0.000 0.000 9.357
2.274 0.000 2.383
0.000 3.268 0.000
0.000 3.268 4.642
```

Output
Space-group type: Immm
Energy of formation from the pure elements: -4.98 eV per formula unit


No. 6
CaNdBi | GGA-PBE | optimized geometry

The structure in POSCAR format:
```
CaNdBi
1.0
5.204 0.000 0.000
-2.602 4.507 0.000
0.000 0.000 4.305
Ca Nd Bi
1 1 1
Cartesian
0.000 0.000 0.000
0.000 3.005 1.992
2.602 1.502 3.635
```

Output
Space-group type: P3m1
Energy of formation from the pure elements: -1.23 eV per formula unit


No. 7
CaNd2Bi | GGA-PBE | optimized geometry

The structure in POSCAR format:
```
CaNd2Bi
1.0
4.970 0.000 0.000
0.000 4.970 0.000
0.000 0.000 5.162
Ca Nd Bi
1 2 1
Cartesian
0.000 0.000 0.000
0.000 2.485 2.581
2.485 0.000 2.581
2.485 2.485 0.000
```

Output
Space-group type: P4/mmm
Energy of formation from the pure elements: -1.53 eV per formula unit
Offset from the most stable computed form: 0.07 eV per formula unit


No. 8
CaNd3Bi2 | GGA-PBE | optimized geometry

The structure in POSCAR format:
```
CaNd3Bi2
1.0
9.499 -2.284 0.000
9.499 2.284 0.000
-4.528 0.000 9.308
Ca Nd Bi
2 6 4
Cartesian
1.581 0.000 1.011
12.889 0.000 8.297
-1.978 0.000 6.244
5.390 0.000 1.048
4.324 0.000 4.884
10.145 0.000 4.424
9.080 0.000 8.260
16.448 0.000 3.064
1.472 0.000 6.687
8.657 0.000 1.518
5.812 0.000 7.790
12.998 0.000 2.621
```

Output
Space-group type: C2/m
Energy of formation from the pure elements: -3.28 eV per formula unit
Offset from the most stable computed form: 0.50 eV per formula unit


No. 9
CaNd5Bi4 | GGA-PBE | optimized geometry

The structure in POSCAR format:
```
CaNd5Bi4
1.0
8.166 -2.639 0.000
8.166 2.639 0.000
-0.081 0.000 8.167
Ca Nd Bi
1 5 4
Cartesian
0.000 0.000 0.000
-0.041 0.000 4.084
5.489 0.000 3.977
5.556 0.000 0.119
10.695 0.000 8.049
10.763 0.000 4.191
2.969 0.000 6.151
7.861 0.000 6.127
8.390 0.000 2.040
13.282 0.000 2.017
```

Output
Space-group type: C2/m
Energy of formation from the pure elements: -6.05 eV per formula unit


No. 10
CaNdBi2 | GGA-PBE | optimized geometry

The structure in POSCAR format:
```
CaNdBi2
1.0
4.614 0.000 0.000
0.000 4.614 0.000
0.000 0.000 6.526
Ca Nd Bi
1 1 2
Cartesian
0.000 0.000 0.000
2.307 2.307 3.263
0.000 0.000 3.263
2.307 2.307 0.000
```

Output
Space-group type: P4/mmm
Energy of formation from the pure elements: -2.99 eV per formula unit
Offset from the most stable computed form: 0.07 eV per formula unit


No. 11
CaNd5Bi6 | GGA-PBE | optimized geometry

The structure in POSCAR format:
```
CaNd5Bi6
1.0
3.996 -6.927 0.000
3.996 6.927 0.000
-2.669 0.000 7.531
Ca Nd Bi
1 5 6
Cartesian
0.000 0.000 0.000
2.661 4.619 3.766
3.996 2.310 0.000
2.661 0.000 3.766
3.996 -2.310 0.000
2.661 -4.619 3.766
1.335 2.316 1.881
0.004 0.000 5.642
1.335 -2.316 1.881
3.987 2.316 5.650
5.318 0.000 1.889
3.987 -2.316 5.650
```

Output
Space-group type: C2/m
Energy of formation from the pure elements: -10.76 eV per formula unit


No. 12
Ca5NdBi4 | GGA-PBE | optimized geometry

The structure in POSCAR format:
```
Ca5NdBi4
1.0
8.763 -2.591 0.000
8.763 2.591 0.000
-0.677 0.000 7.912
Ca Nd Bi
5 1 4
Cartesian
0.000 0.000 0.000
5.417 0.000 3.946
5.956 0.000 0.143
10.892 0.000 7.768
11.431 0.000 3.966
-0.339 0.000 3.956
2.709 0.000 5.895
7.805 0.000 5.959
9.043 0.000 1.953
14.140 0.000 2.017
```

Output
Space-group type: C2/m
Energy of formation from the pure elements: -7.39 eV per formula unit